An optimized crystal structure of Zr8Au2C3N3, computed with PBE.

Cell: 3.315 3.315 24.852 Å, 90.00 90.00 120.00°
Element x y z (fractional)
Zr 0.000 0.000 0.343
Zr 0.333 0.667 0.446
Zr 0.333 0.667 0.053
Zr 0.000 0.000 0.161
Zr 0.667 0.333 0.947
Zr 0.667 0.333 0.554
Zr 0.000 0.000 0.839
Zr 0.000 0.000 0.657
C 0.667 0.333 0.112
C 0.000 0.000 0.000
C 0.333 0.667 0.888
N 0.333 0.667 0.606
N 0.667 0.333 0.394
N 0.000 0.000 0.500
Au 0.667 0.333 0.747
Au 0.333 0.667 0.253

Its total energy is -9.03 eV/atom.